1.
AsP2W: relaxed, GGA-PBE.

Its raw total energy is -27.17 eV/f.u.

The space group is P2/m (No. 10) and the conventional cell measures 3.454, 4.580 and 4.392 Å, with angles of 90.00, 101.13 and 90.00 degrees. The distinct sites, in fractional coordinates, are As at (0.000, 0.000, 0.000), P at (0.288, 0.500, 0.666) and W at (0.500, 0.000, 0.500).

=====

2.
AsPW: relaxed, GGA-PBE.

The value obtained for the polymorph energy (0 for the lowest one) is 436 meV per atom.

The space group is F-43m (No. 216) and the conventional cell measures 6.037, 6.037 and 6.037 Å, with angles of 90.00, 90.00 and 90.00 degrees. The distinct sites, in fractional coordinates, are As at (0.000, 0.000, 0.000), P at (0.000, 0.000, 0.500) and W at (0.250, 0.250, 0.250).

=====

| no. | M_tot (Bohr magnetons per cell) |
| --- | --- |
| 1 | 0.0 |
| 2 | 4.5 |